Material: BaCuSi2
Method: DFT, GGA-PBE
State: relaxed

POSCAR file:
```
BaCuSi2
1.0
3.9713 0.0000 0.0000
0.0000 4.6924 -0.0944
0.0000 0.6045 5.3641
Si Ba Cu
2 1 1
direct
0.0000 0.0065 0.9232 Si
0.5000 0.2285 0.0812 Si
0.0000 0.5388 0.4906 Ba
0.5000 0.7261 0.0050 Cu
```

Material: PmPr2ErS6
Method: DFT, GGA-PBE
State: relaxed

POSCAR file:
```
PmPr2ErS6
1.0
-5.5651 1.1626 4.3037
-5.6315 -4.3691 -0.1942
-1.0959 -4.6623 5.7500
S Er Pr Pm
6 1 2 1
direct
0.1159 0.4263 0.7593 S
0.6024 0.2035 0.2550 S
0.4263 0.6985 0.7593 S
0.9392 0.6024 0.2550 S
0.6985 0.1159 0.7593 S
0.2034 0.9392 0.2550 S
0.3171 0.3170 0.0487 Er
0.5236 0.5236 0.4292 Pr
0.0213 0.0213 0.9361 Pr
0.8139 0.8139 0.5584 Pm
```

Asked for total moment across the records above, the calculation gives 0.00, 0.00 μB per formula unit in order.
Asked for ΔE_f (raw) across the records above, the calculation gives -0.124, -2.021 eV per atom in order.
Asked for N(E_F) across the records above, the calculation gives 0.34, 0.00 states/eV/atom in order.